# 1
## Be2CuSi (PBE-GGA)

Data for Be2CuSi after structural relaxation.

Values from the calculation:
Its raw formation energy is 1.3 eV per formula unit. Its space group is F-43m (216).

a b c (Å): 3.9402 3.9402 3.9402
angles (deg): 60.00 60.00 60.00
Element x y z (fractional)
Be  0.0000  0.0000  0.0000
Be  0.2500  0.2500  0.2500
Si  0.7500  0.7500  0.7500
Cu  0.5000  0.5000  0.5000

# 2
## Mn2Cr2In (PBE-GGA)

Data for Mn2Cr2In after structural relaxation.

Values from the calculation:
Its space group is P4/mbm (127). The energy of formation is 0.273 eV per atom.

a b c (Å): 7.1989 7.1989 2.8165
angles (deg): 90.00 90.00 90.00
Site moments in Bohr magnetons follow the coordinates.
Element x y z (fractional)
Cr  0.1523  0.6523  0.5000  -2.29
Cr  0.6523  0.8477  0.5000  -2.29
Cr  0.8477  0.3477  0.5000  -2.29
Cr  0.3477  0.1523  0.5000  -2.29
Mn  0.3660  0.8660  0.0000  2.53
Mn  0.8660  0.6340  0.0000  2.53
Mn  0.6340  0.1340  0.0000  2.53
Mn  0.1340  0.3660  0.0000  2.53
In  0.0000  0.0000  0.0000  0.07
In  0.5000  0.5000  0.0000  0.07

# 3
## Rb3Pr2PtO6 (PBE-GGA)

Data for Rb3Pr2PtO6 after structural relaxation.

Values from the calculation:
Its raw formation energy is -22.1 eV per formula unit. Its space group is C2/m (12).

a b c (Å): 6.1464 6.1464 7.0017
angles (deg): 100.18 100.18 117.23
Site moments in Bohr magnetons follow the coordinates.
Element x y z (fractional)
Rb  0.1626  0.8374  0.5000  0.00
Rb  0.8374  0.1626  0.5000  0.00
Rb  0.5000  0.5000  0.5000  0.01
Pr  0.3351  0.6649  0.0000  -0.01
Pr  0.6649  0.3351  0.0000  -0.01
Pt  0.0000  0.0000  0.0000  0.56
O  0.9362  0.6370  0.8342  0.01
O  0.7059  0.7059  0.2162  0.19
O  0.0638  0.3630  0.1658  0.01
O  0.6370  0.9362  0.8342  0.01
O  0.2941  0.2941  0.7838  0.19
O  0.3630  0.0638  0.1658  0.01

# 4
## KTmBr3 (PBE-GGA)

Data for KTmBr3 after structural relaxation.

Values from the calculation:
Its raw formation energy is -7.4 eV per formula unit. Its space group is Pm-3m (221).

a b c (Å): 5.5654 5.5654 5.5654
angles (deg): 90.00 90.00 90.00
Element x y z (fractional)
K  0.5000  0.5000  0.5000
Tm  0.0000  0.0000  0.0000
Br  0.0000  0.5000  0.0000
Br  0.0000  0.0000  0.5000
Br  0.5000  0.0000  0.0000

# 5
## LaSm3N4 (PBE-GGA)

Data for LaSm3N4 after structural relaxation.

Values from the calculation:
Its raw formation energy is -11.4 eV per formula unit. Its space group is Pm-3m (221).

a b c (Å): 5.1335 5.1335 5.1335
angles (deg): 90.00 90.00 90.00
Element x y z (fractional)
La  0.0000  0.0000  0.0000
Sm  0.0000  0.5000  0.5000
Sm  0.5000  0.0000  0.5000
Sm  0.5000  0.5000  0.0000
N  0.5000  0.0000  0.0000
N  0.0000  0.5000  0.0000
N  0.0000  0.0000  0.5000
N  0.5000  0.5000  0.5000

# 6
## YBe2Ag (PBE-GGA)

Data for YBe2Ag after structural relaxation.

Values from the calculation:
Its space group is Amm2 (38). The energy of formation is 0.052 eV per atom.

a b c (Å): 3.7406 3.4266 5.4573
angles (deg): 71.68 90.00 90.00
Element x y z (fractional)
Y  0.0000  0.4662  0.4424
Be  0.0000  0.1884  0.0001
Be  0.5000  0.0891  0.1957
Ag  0.5000  0.7564  0.8617

# 7
## TbZnAgRh (PBE-GGA)

Data for TbZnAgRh after structural relaxation.

Values from the calculation:
Its space group is F-43m (216). The energy of formation is -0.377 eV per atom.

a b c (Å): 4.7205 4.7205 4.7205
angles (deg): 60.00 60.00 60.00
Element x y z (fractional)
Rh  0.7500  0.7500  0.7500
Zn  0.0000  0.0000  0.0000
Tb  0.5000  0.5000  0.5000
Ag  0.2500  0.2500  0.2500

# 8
## V2In2N (PBE-GGA)

Data for V2In2N after structural relaxation.

Values from the calculation:
Its raw formation energy is -0.3 eV per formula unit. Its space group is P4/mbm (127).

a b c (Å): 5.5034 5.5034 5.1839
angles (deg): 90.00 90.00 90.00
Element x y z (fractional)
V  0.3213  0.8213  0.0000
V  0.8213  0.6787  0.0000
V  0.6787  0.1787  0.0000
V  0.1787  0.3213  0.0000
In  0.1778  0.6778  0.5000
In  0.6778  0.8222  0.5000
In  0.8222  0.3222  0.5000
In  0.3222  0.1778  0.5000
N  0.0000  0.0000  0.0000
N  0.5000  0.5000  0.0000

# 9
## Pm3Te2Se2 (PBE-GGA)

Data for Pm3Te2Se2 after structural relaxation.

Values from the calculation:
Its raw formation energy is -11.1 eV per formula unit. Its space group is C2/m (12).

a b c (Å): 4.2269 6.4132 8.8210
angles (deg): 94.53 103.86 90.00
Element x y z (fractional)
Pm  0.0000  0.0000  0.0000
Pm  0.1836  0.7339  0.3672
Pm  0.8164  0.2661  0.6328
Te  0.1764  0.2375  0.3528
Te  0.8236  0.7625  0.6472
Se  0.4317  0.2485  0.8635
Se  0.5683  0.7515  0.1365

# 10
## Ac2NpP3Rh12 (PBE-GGA)

Data for Ac2NpP3Rh12 after structural relaxation.

Values from the calculation:
Its space group is R-3m (166). The energy of formation is -0.342 eV per atom.

a b c (Å): 7.6478 7.6478 7.6478
angles (deg): 64.67 64.67 64.67
Site moments in Bohr magnetons follow the coordinates.
Element x y z (fractional)
Ac  0.6046  0.6046  0.6046  -0.01
Ac  0.3954  0.3954  0.3954  -0.01
Np  0.0000  0.0000  0.0000  -1.32
P  0.5000  0.0000  0.0000  0.00
P  0.0000  0.5000  0.0000  0.00
P  0.0000  0.0000  0.5000  0.00
Rh  0.3353  0.3353  0.9109  0.01
Rh  0.8740  0.8740  0.3742  0.08
Rh  0.3742  0.8740  0.8740  0.08
Rh  0.9109  0.3353  0.3353  0.01
Rh  0.8740  0.3742  0.8740  0.08
Rh  0.3353  0.9109  0.3353  0.01
Rh  0.6647  0.6647  0.0891  0.01
Rh  0.1260  0.1260  0.6258  0.08
Rh  0.6258  0.1260  0.1260  0.08
Rh  0.0891  0.6647  0.6647  0.01
Rh  0.1260  0.6258  0.1260  0.08
Rh  0.6647  0.0891  0.6647  0.01

# 11
## In2Sb (PBE-GGA)

Data for In2Sb after structural relaxation.

Values from the calculation:
Its raw formation energy is 0.2 eV per formula unit. Its space group is Pa-3 (205).

a b c (Å): 7.3071 7.3071 7.3071
angles (deg): 90.00 90.00 90.00
Element x y z (fractional)
Sb  0.0000  0.0000  0.0000
Sb  0.5000  0.5000  0.0000
Sb  0.5000  0.0000  0.5000
Sb  0.0000  0.5000  0.5000
In  0.6166  0.6166  0.3834
In  0.3834  0.3834  0.6166
In  0.1166  0.8834  0.6166
In  0.8834  0.1166  0.3834
In  0.3834  0.1166  0.1166
In  0.6166  0.8834  0.8834
In  0.8834  0.3834  0.8834
In  0.1166  0.6166  0.1166

# 12
## NaNb2Hg (PBE-GGA)

Data for NaNb2Hg after structural relaxation.

Values from the calculation:
Its space group is I-42d (122). The energy of formation is 0.934 eV per atom.

a b c (Å): 8.0203 8.0203 6.2559
angles (deg): 50.13 50.13 90.00
Element x y z (fractional)
Na  0.5000  0.5000  0.0000
Na  0.2500  0.7500  0.5000
Nb  0.6372  0.1250  0.2500
Nb  0.1128  0.6250  0.2500
Nb  0.3750  0.3628  0.7500
Nb  0.8750  0.8872  0.7500
Hg  0.0000  0.0000  0.0000
Hg  0.7500  0.2500  0.5000

# 13
## NiAg2Ir (PBE-GGA)

Data for NiAg2Ir after structural relaxation.

Values from the calculation:
Its space group is I4/mmm (139). The energy of formation is 0.485 eV per atom.

a b c (Å): 4.9845 4.9845 4.9845
angles (deg): 134.84 134.84 65.78
Site moments in Bohr magnetons follow the coordinates.
Element x y z (fractional)
Ag  0.0000  0.0000  0.0000  0.03
Ag  0.5000  0.5000  0.0000  0.03
Ir  0.2500  0.7500  0.5000  0.50
Ni  0.7500  0.2500  0.5000  0.59

# 14
## BeIn2Hg (PBE-GGA)

Data for BeIn2Hg after structural relaxation.

Values from the calculation:
Its space group is R3m (160). The energy of formation is 0.282 eV per atom.

a b c (Å): 8.7792 8.7792 8.7792
angles (deg): 22.50 22.50 22.50
Element x y z (fractional)
Be  0.4946  0.4946  0.4946
Hg  0.7671  0.7671  0.7671
In  0.0039  0.0039  0.0039
In  0.2344  0.2344  0.2344

# 15
## CsMgTl2Pt (PBE-GGA)

Data for CsMgTl2Pt after structural relaxation.

Values from the calculation:
Its space group is P4/mmm (123). The energy of formation is -0.149 eV per atom.

a b c (Å): 5.4886 5.4886 5.2920
angles (deg): 90.00 90.00 90.00
Element x y z (fractional)
Cs  0.5000  0.5000  0.5000
Tl  0.0000  0.5000  0.0000
Tl  0.5000  0.0000  0.0000
Mg  0.0000  0.0000  0.5000
Pt  0.0000  0.0000  0.0000

# 16
## RbTlBr2 (PBE-GGA)

Data for RbTlBr2 after structural relaxation.

Values from the calculation:
Its raw formation energy is -5.0 eV per formula unit. Its space group is P4/mmm (123).

a b c (Å): 4.1110 5.8067 5.8067
angles (deg): 90.00 90.00 90.00
Element x y z (fractional)
Tl  0.5000  0.5000  0.5000
Br  0.0000  0.0000  0.5000
Br  0.0000  0.5000  0.0000
Rb  0.5000  0.0000  0.0000

# 17
## KFeRuCl6 (PBE-GGA)

Data for KFeRuCl6 after structural relaxation.

Values from the calculation:
Its raw formation energy is -7.3 eV per formula unit. Its space group is P312 (149).

a b c (Å): 6.1316 6.1315 7.0937
angles (deg): 90.00 90.00 60.00
Site moments in Bohr magnetons follow the coordinates.
Element x y z (fractional)
K  0.0000  0.0000  0.0000  0.00
Fe  0.3333  0.3333  0.5000  0.70
Ru  0.6666  0.6667  0.5000  0.25
Cl  0.0104  0.3598  0.3170  0.01
Cl  0.3597  0.0104  0.6830  0.01
Cl  0.6298  0.3598  0.6830  0.01
Cl  0.0103  0.6299  0.6830  0.01
Cl  0.3597  0.6299  0.3170  0.01
Cl  0.6298  0.0104  0.3170  0.01

# 18
## ZrScTi2O (PBE-GGA)

Data for ZrScTi2O after structural relaxation.

Values from the calculation:
Its raw formation energy is -5.1 eV per formula unit. Its space group is P4/mmm (123).

a b c (Å): 4.2323 4.2323 4.6052
angles (deg): 90.00 90.00 90.00
Element x y z (fractional)
Sc  0.5000  0.5000  0.5000
O  0.0000  0.0000  0.0000
Zr  0.0000  0.0000  0.5000
Ti  0.0000  0.5000  0.0000
Ti  0.5000  0.0000  0.0000

# 19
## Tb3Y6Er (PBE-GGA)

Data for Tb3Y6Er after structural relaxation.

Values from the calculation:
Its space group is Cmc2_1 (36). The energy of formation is 0.144 eV per atom.

a b c (Å): 6.2648 10.9472 10.9472
angles (deg): 119.82 90.00 90.00
Element x y z (fractional)
Tb  0.4547  0.9395  0.7187
Tb  0.9547  0.7187  0.9395
Tb  0.0705  0.3893  0.6107
Tb  0.5705  0.6107  0.3893
Tb  0.9547  0.0605  0.2813
Tb  0.4547  0.2813  0.0605
Y  0.0405  0.7099  0.6189
Y  0.5405  0.6189  0.7099
Y  0.3605  0.5352  0.9529
Y  0.8605  0.9529  0.5352
Y  0.4048  0.9531  0.0469
Y  0.6522  0.2785  0.7215
Y  0.1522  0.7215  0.2785
Y  0.9048  0.0469  0.9531
Y  0.3605  0.0471  0.4648
Y  0.8605  0.4648  0.0471
Y  0.0405  0.3811  0.2901
Y  0.5405  0.2901  0.3811
Er  0.1465  0.2049  0.7951
Er  0.6465  0.7951  0.2049

# 20
## Zr2GaSiPb (PBE-GGA)

Data for Zr2GaSiPb after structural relaxation.

Values from the calculation:
Its raw formation energy is 6.4 eV per formula unit. Its space group is P4/mmm (123).

a b c (Å): 5.4771 5.0391 5.4771
angles (deg): 90.00 90.00 90.00
Site moments in Bohr magnetons follow the coordinates.
Element x y z (fractional)
Pb  0.0000  0.0000  0.0000  0.01
Si  0.0000  0.5000  0.0000  0.00
Ga  0.5000  0.5000  0.5000  0.00
Zr  0.0000  0.0000  0.5000  0.21
Zr  0.5000  0.0000  0.0000  0.14

# 21
## TlIn4Ga4 (PBE-GGA)

Data for TlIn4Ga4 after structural relaxation.

Values from the calculation:
Its space group is I4/mmm (139). The energy of formation is 0.051 eV per atom.

a b c (Å): 5.0966 7.0020 7.0020
angles (deg): 82.39 68.66 68.66
Element x y z (fractional)
Tl  0.0000  0.0000  0.0000
In  0.3263  0.3476  0.9998
In  0.6737  0.6524  0.0002
In  0.6739  0.9998  0.6524
In  0.3261  0.0002  0.3476
Ga  0.0001  0.6502  0.3496
Ga  0.9999  0.3498  0.6504
Ga  0.6503  0.3496  0.3498
Ga  0.3497  0.6504  0.6502

# 22
## ZrTa2Fe (PBE-GGA)

Data for ZrTa2Fe after structural relaxation.

Values from the calculation:
Its space group is R-3m (166). The energy of formation is 0.227 eV per atom.

a b c (Å): 9.1412 9.1412 9.1412
angles (deg): 19.12 19.12 19.12
Site moments in Bohr magnetons follow the coordinates.
Element x y z (fractional)
Fe  0.7500  0.7500  0.7500  1.42
Ta  0.0110  0.0110  0.0110  -0.12
Ta  0.4890  0.4890  0.4890  -0.12
Zr  0.2500  0.2500  0.2500  -0.08

# 23
## RbGaSn (PBE-GGA)

Data for RbGaSn after structural relaxation.

Values from the calculation:
Its space group is P6_3/mmc (194). The energy of formation is 0.279 eV per atom.

a b c (Å): 6.2797 6.2797 10.4751
angles (deg): 90.00 90.00 120.00
Element x y z (fractional)
Ga  0.0000  0.0000  0.2500
Ga  0.0000  0.0000  0.7500
Sn  0.0000  0.0000  0.0000
Sn  0.0000  0.0000  0.5000
Rb  0.3333  0.6667  0.2500
Rb  0.6667  0.3333  0.7500

# 24
## NdTm14Sc (PBE-GGA)

Data for NdTm14Sc after structural relaxation.

Values from the calculation:
Its space group is Amm2 (38). The energy of formation is 0.073 eV per atom.

a b c (Å): 6.8094 6.8094 10.8883
angles (deg): 90.00 90.00 106.95
Element x y z (fractional)
Nd  0.6981  0.3019  0.5000
Tm  0.1093  0.8907  0.0000
Tm  0.5573  0.4427  0.0000
Tm  0.2089  0.3837  0.5000
Tm  0.0417  0.3681  0.0000
Tm  0.6163  0.7911  0.5000
Tm  0.6319  0.9583  0.0000
Tm  0.4139  0.1641  0.7490
Tm  0.4139  0.1641  0.2510
Tm  0.8359  0.5861  0.7490
Tm  0.8359  0.5861  0.2510
Tm  0.3444  0.6556  0.7691
Tm  0.3444  0.6556  0.2309
Tm  0.9052  0.0948  0.7330
Tm  0.9052  0.0948  0.2670
Sc  0.1376  0.8624  0.5000

no.,density (Mg/m³)
1,4.2
2,7.5
3,6.2
4,4.3
5,7.9
6,5.4
7,9.7
8,7.3
9,6.1
10,9.6
11,6.0
12,8.0
13,12.6
14,8.4
15,7.9
16,5.4
17,2.9
18,5.0
19,6.0
20,5.4
21,7.2
22,11.8
23,2.5
24,8.8